Entry 1:
Density functional theory data (PBE) for a geometry-optimized PmTlNi structure.

Computed properties:
magnetic moment	0.000	μB/atom
relative energy among the computed polymorphs	0.07	eV per formula unit
energy of formation	-30.0	kJ per mole of atoms
V	137	Å³ per cell
raw total energy	-4.61	eV per atom

a = 5.901 Å, b = 5.901 Å, c = 7.593 Å
α = 123.04°, β = 123.04°, γ = 39.38°
Sites, in units of the cell vectors:
Pm 0.066 0.066 0.337
Pm 0.934 0.934 0.663
Tl 0.320 0.320 0.909
Tl 0.680 0.680 0.091
Ni 0.372 0.372 0.343
Ni 0.628 0.628 0.657


Entry 2:
Density functional theory data (PBE) for a geometry-optimized PmTlNi structure.

Computed properties:
magnetic moment	0.000	μB/atom
relative energy among the computed polymorphs	1.21	eV per formula unit
energy of formation	6.4	kJ per mole of atoms
V	158	Å³ per cell
raw total energy	-4.23	eV per atom

a = 8.842 Å, b = 8.842 Å, c = 8.842 Å
α = 30.53°, β = 30.53°, γ = 30.53°
Sites, in units of the cell vectors:
Pm 0.093 0.093 0.093
Pm 0.907 0.907 0.907
Tl 0.310 0.310 0.310
Tl 0.690 0.690 0.690
Ni 0.199 0.199 0.199
Ni 0.801 0.801 0.801


Entry 3:
Density functional theory data (PBE) for a geometry-optimized PmTlNi structure.

Computed properties:
magnetic moment	0.000	μB/atom
relative energy among the computed polymorphs	0.31	eV per formula unit
energy of formation	-22.3	kJ per mole of atoms
V	69	Å³ per cell
raw total energy	-4.53	eV per atom

a = 4.609 Å, b = 4.609 Å, c = 3.744 Å
α = 90.00°, β = 90.00°, γ = 120.00°
Sites, in units of the cell vectors:
Pm 0.000 0.000 0.000
Tl 0.667 0.333 0.500
Ni 0.333 0.667 0.500